[1]
# PBE CsLaHgS3, relaxed
# crystal system	monoclinic
# VASP energy	-4.3702	eV/atom
# ΔE_f (raw)	-1.293	eV per atom
data_CsLaHgS3
_symmetry_space_group_name_H-M 'P 1 21/m 1'
_symmetry_Int_Tables_number 11
_cell_length_a 9.4191
_cell_length_b 4.3445
_cell_length_c 10.3343
_cell_angle_alpha 90.00
_cell_angle_beta 107.55
_cell_angle_gamma 90.00
loop_
_symmetry_equiv_pos_as_xyz
'x,y,z'
'-x,-y,-z'
'-x,y+1/2,-z'
'x,-y+1/2,z'
loop_
_atom_site_label
_atom_site_type_symbol
_atom_site_fract_x
_atom_site_fract_y
_atom_site_fract_z
_atom_site_occupancy
Cs1 Cs 0.2086 0.2500 0.2356 1
La1 La 0.3334 0.7500 0.8573 1
Hg1 Hg 0.0911 0.2500 0.6182 1
S1 S 0.1255 0.2500 0.8685 1
S2 S 0.2017 0.7500 0.5398 1
S3 S 0.4665 0.7500 0.1423 1

***

[2]
# PBE LaIrOs2, relaxed
# crystal system	cubic
# energy relative to the elements	0.704	eV/atom
# polymorph energy (0 for the lowest one)	512	meV/atom
# VASP energy	-8.3581	eV/atom
data_LaIrOs2
_symmetry_space_group_name_H-M 'F -4 3 m'
_symmetry_Int_Tables_number 216
_symmetry_space_group_name_Hall 'F -4 2 3'
_cell_length_a 6.6194
_cell_length_b 6.6194
_cell_length_c 6.6194
_cell_angle_alpha 90.00
_cell_angle_beta 90.00
_cell_angle_gamma 90.00
loop_
_atom_site_label
_atom_site_type_symbol
_atom_site_fract_x
_atom_site_fract_y
_atom_site_fract_z
_atom_site_occupancy
La1 La 0.0000 0.0000 0.0000 1
Ir1 Ir 0.2500 0.2500 0.7500 1
Os1 Os 0.0000 0.0000 0.5000 1
Os2 Os 0.2500 0.2500 0.2500 1

***

[3]
# PBE Tb3PmPr6Sm2, relaxed
# crystal system	monoclinic
# energy relative to the elements	0.012	eV/atom
# VASP energy	-4.7182	eV/atom
data_Tb3PmPr6Sm2
_symmetry_space_group_name_H-M 'C 1 2/m 1'
_symmetry_Int_Tables_number 12
_cell_length_a 6.3508
_cell_length_b 11.0041
_cell_length_c 12.0394
_cell_angle_alpha 90.00
_cell_angle_beta 100.12
_cell_angle_gamma 90.00
loop_
_symmetry_equiv_pos_as_xyz
'x,y,z'
'-x,-y,-z'
'-x,y,-z'
'x,-y,z'
'x+1/2,y+1/2,z'
'-x+1/2,-y+1/2,-z'
'-x+1/2,y+1/2,-z'
'x+1/2,-y+1/2,z'
loop_
_atom_site_label
_atom_site_type_symbol
_atom_site_fract_x
_atom_site_fract_y
_atom_site_fract_z
_atom_site_occupancy
Tb1 Tb 0.0000 0.0000 0.0000 1
Tb2 Tb 0.0000 0.3332 0.0000 1
Pm1 Pm 0.0000 0.5000 0.5000 1
Pr1 Pr 0.2491 0.1667 0.2479 1
Pr2 Pr 0.2492 0.5000 0.2478 1
Sm1 Sm 0.0000 0.1666 0.5000 1